Entry 1:
A relaxed structure of KCd, computed with PBE-GGA.

Values from the calculation:
For the total energy, the calculation gives -1.047 eV/atom.

Geometry as extended XYZ:
```
20
Lattice="-4.2185 -0.9220 -5.3366 -3.7721 -1.1244 3.1761 -4.5391 21.2231 2.1228" Properties=species:S:1:pos:R:3 pbc="T T T"
K -6.5111 12.3866 2.6930
Cd -3.5863 6.1663 -0.0627
Cd -8.9434 13.0103 0.0250
Cd -6.2832 18.9945 1.2759
Cd -4.4580 5.2403 2.6013
K -6.3307 15.6408 0.0322
Cd -8.8941 17.6961 1.7424
Cd -3.6356 1.4805 -1.7802
K -3.9094 -0.3338 1.2794
K -10.6955 15.9268 -1.0234
K -6.1990 3.5358 -0.0699
Cd -8.0718 13.9363 -2.6390
Cd -6.2465 0.1821 -1.3137
K -6.0187 6.7900 -2.7307
K -8.6204 19.5104 -1.3171
K -6.1634 11.1858 -1.3463
K -6.3664 7.9908 1.3085
Cd -8.8160 8.6923 -1.3525
Cd -3.7137 10.4843 1.3147
K -1.8342 3.2499 0.9857
```

=====

Entry 2:
A relaxed structure of K2Cd, computed with PBE-GGA.

Values from the calculation:
Its energy above the lowest structure with this stoichiometry is 0 meV per atom.

Geometry as extended XYZ:
```
6
Lattice="6.9596 -1.9534 1.0474 4.4338 4.2569 3.9458 2.2274 -2.1774 6.6066" Properties=species:S:1:pos:R:3 pbc="T T T"
K 7.3993 1.1675 3.9466
K 5.0332 1.0555 6.7262
K 6.2961 -2.0497 5.2770
K 8.5130 0.0788 7.2499
Cd 0.0000 0.0000 0.0000
Cd 3.4052 0.0315 2.8999
```

=====

Entry 3:
A relaxed structure of K2Cd17, computed with PBE-GGA.

Values from the calculation:
For the total energy, the calculation gives -0.974 eV/atom.

Geometry as extended XYZ:
```
19
Lattice="0.9504 1.7919 7.4575 1.0594 -7.2092 2.5756 7.7276 0.1116 -0.0332" Properties=species:S:1:pos:R:3 pbc="T T T"
Cd 3.8638 0.0558 -0.0166
Cd 2.5098 -3.4808 6.4738
Cd 7.2275 -1.8250 3.5261
Cd 3.9673 -5.4042 4.8016
Cd 1.0268 -4.5149 4.0369
Cd 8.7583 -4.7723 8.9945
Cd 3.9140 -1.0034 7.1885
Cd 5.7701 0.0985 5.1983
Cd 0.9830 -0.9025 5.9962
Cd 5.8233 -4.3024 2.8114
Cd 3.0554 -5.0179 1.7947
Cd 0.9790 -0.5335 1.0054
Cd 0.4752 0.8959 3.7288
Cd 2.9790 1.2889 5.2153
K 3.3053 -1.8010 3.3944
K 6.4321 -3.5048 6.6055
Cd 5.6989 0.6145 2.2090
Cd 5.7316 -2.0798 0.7477
Cd 0.5297 -3.6046 1.2878
```

=====

Entry 4:
A relaxed structure of K3Cd16, computed with PBE-GGA.

Values from the calculation:
For the total energy, the calculation gives -1.035 eV/atom.

Geometry as extended XYZ:
```
38
Lattice="9.1793 0.0000 0.0000 0.0000 9.1793 0.0000 0.0000 0.0000 11.5974" Properties=species:S:1:pos:R:3 pbc="T T T"
K 6.8845 6.8845 8.6981
K 2.2948 2.2948 2.8994
Cd 5.6099 0.8518 10.8735
Cd 3.7379 8.1591 6.5226
Cd 0.9726 8.2740 7.9752
Cd 5.5623 0.9053 2.1765
Cd 8.1591 3.7379 10.8735
K 2.2948 2.2948 10.6099
Cd 3.5694 5.4414 5.0748
Cd 5.5623 3.6843 3.6223
Cd 8.2067 3.6843 2.1765
Cd 5.4414 1.0202 5.0748
Cd 3.7379 5.6099 10.8735
Cd 8.2740 3.6170 7.9752
K 2.2948 2.2948 6.7862
Cd 0.9053 5.5623 3.6223
Cd 5.4950 3.6170 9.4210
Cd 5.4950 0.9726 7.9752
Cd 8.1591 0.8518 6.5226
Cd 5.6099 3.7379 6.5226
Cd 3.6170 5.4950 7.9752
Cd 0.8518 5.6099 6.5226
Cd 8.3275 1.0202 0.7239
Cd 3.6170 8.2740 9.4210
Cd 0.9726 5.4950 9.4210
Cd 3.6843 8.2067 3.6223
Cd 5.4414 3.5694 0.7239
K 6.8845 6.8845 0.9875
Cd 0.8518 8.1591 10.8735
Cd 8.3275 3.5694 5.0748
Cd 3.5694 8.3275 0.7239
Cd 8.2067 0.9053 3.6223
K 6.8845 6.8845 4.8112
Cd 1.0202 5.4414 0.7239
Cd 0.9053 8.2067 2.1765
Cd 3.6843 5.5623 2.1765
Cd 8.2740 0.9726 9.4210
Cd 1.0202 8.3275 5.0748
```

=====

Copy entry 4 word for word.
A relaxed structure of K3Cd16, computed with PBE-GGA.

Values from the calculation:
For the total energy, the calculation gives -1.035 eV/atom.

Geometry as extended XYZ:
```
38
Lattice="9.1793 0.0000 0.0000 0.0000 9.1793 0.0000 0.0000 0.0000 11.5974" Properties=species:S:1:pos:R:3 pbc="T T T"
K 6.8845 6.8845 8.6981
K 2.2948 2.2948 2.8994
Cd 5.6099 0.8518 10.8735
Cd 3.7379 8.1591 6.5226
Cd 0.9726 8.2740 7.9752
Cd 5.5623 0.9053 2.1765
Cd 8.1591 3.7379 10.8735
K 2.2948 2.2948 10.6099
Cd 3.5694 5.4414 5.0748
Cd 5.5623 3.6843 3.6223
Cd 8.2067 3.6843 2.1765
Cd 5.4414 1.0202 5.0748
Cd 3.7379 5.6099 10.8735
Cd 8.2740 3.6170 7.9752
K 2.2948 2.2948 6.7862
Cd 0.9053 5.5623 3.6223
Cd 5.4950 3.6170 9.4210
Cd 5.4950 0.9726 7.9752
Cd 8.1591 0.8518 6.5226
Cd 5.6099 3.7379 6.5226
Cd 3.6170 5.4950 7.9752
Cd 0.8518 5.6099 6.5226
Cd 8.3275 1.0202 0.7239
Cd 3.6170 8.2740 9.4210
Cd 0.9726 5.4950 9.4210
Cd 3.6843 8.2067 3.6223
Cd 5.4414 3.5694 0.7239
K 6.8845 6.8845 0.9875
Cd 0.8518 8.1591 10.8735
Cd 8.3275 3.5694 5.0748
Cd 3.5694 8.3275 0.7239
Cd 8.2067 0.9053 3.6223
K 6.8845 6.8845 4.8112
Cd 1.0202 5.4414 0.7239
Cd 0.9053 8.2067 2.1765
Cd 3.6843 5.5623 2.1765
Cd 8.2740 0.9726 9.4210
Cd 1.0202 8.3275 5.0748
```